Compound: HoLuAu4
Source: OQMD
Functional: GGA-PBE
Structure: relaxed

Computed properties:
**ΔE_f**: -0.8845 eV/atom
**Symmetry**: P4/mmm, No. 123

```
HoLuAu4
1.0
3.695 0.000 0.000
0.000 3.695 0.000
0.000 0.000 8.999
Ho Lu Au
1 1 4
Direct
0.000 0.000 0.000
0.500 0.500 0.500
0.000 0.000 0.338
0.000 0.000 0.662
0.500 0.500 0.167
0.500 0.500 0.833
```